Record 1
Here is NaLa2Sc2 after structural relaxation from the Alexandria database. Energies are from PBE-GGA.

```
NaLa2Sc2
1.0
9.611 0.000 0.000
0.000 9.611 0.000
0.000 0.000 3.567
Na La Sc
2 4 4
Direct
0.000 0.000 0.000 Na
0.500 0.500 0.000 Na
0.868 0.632 0.000 La
0.368 0.868 0.000 La
0.132 0.368 0.000 La
0.632 0.132 0.000 La
0.338 0.162 0.500 Sc
0.662 0.838 0.500 Sc
0.162 0.662 0.500 Sc
0.838 0.338 0.500 Sc
```

Results
ΔH_f (0 K) in eV/atom: 0.3489
ΔE to the lowest computed polymorph in eV/f.u.: 0.59

---

Record 2
Here is NaLa3Sc after structural relaxation from the Alexandria database. Energies are from PBE-GGA.

```
NaLa3Sc
1.0
5.899 0.000 0.000
0.000 5.899 0.000
0.000 0.000 5.899
La Na Sc
3 1 1
Direct
0.500 0.000 0.000 La
0.000 0.000 0.500 La
0.000 0.500 0.000 La
0.500 0.500 0.500 Na
0.000 0.000 0.000 Sc
```

Results
ΔH_f (0 K) in eV/atom: 0.4941
ΔE to the lowest computed polymorph in eV/f.u.: 0.00

---

Record 3
Here is Na2LaSc after structural relaxation from the Alexandria database. Energies are from PBE-GGA.

```
Na2LaSc
1.0
-4.445 5.101 6.030
-5.389 -7.018 1.963
-2.890 -1.879 6.269
Na Sc La
4 2 2
Direct
0.607 0.125 0.250 Na
0.143 0.625 0.250 Na
0.375 0.393 0.750 Na
0.875 0.857 0.750 Na
0.500 0.500 0.000 Sc
0.250 0.750 0.500 Sc
0.000 0.000 0.000 La
0.750 0.250 0.500 La
```

Results
ΔH_f (0 K) in eV/atom: 0.5811
ΔE to the lowest computed polymorph in eV/f.u.: 0.51

---

Record 4
Here is Na2LaSc after structural relaxation from the Alexandria database. Energies are from PBE-GGA.

```
Na2LaSc
1.0
0.000 3.996 3.996
3.996 0.000 3.996
3.996 3.996 0.000
Sc Na La
1 2 1
Direct
0.000 0.000 0.000 Sc
0.750 0.750 0.750 Na
0.250 0.250 0.250 Na
0.500 0.500 0.500 La
```

Results
ΔH_f (0 K) in eV/atom: 0.4541
ΔE to the lowest computed polymorph in eV/f.u.: 0.00